Density functional theory data (PBE) for a relaxed MgHPd2Se crystal.

Calculated values
V: 14.04 Å³/atom
Raw total energy: -20.6 eV/cell
Total magnetic moment: 0.00 μB per formula unit

Geometry as POSCAR:
```
MgHPd2Se
1.0
-2.730 -1.068 2.693
2.045 -3.331 0.753
2.283 2.114 3.152
Pd Mg Se H
2 1 1 1
direct
0.000 0.500 0.000
0.500 0.000 0.000
0.000 0.000 0.500
0.500 0.500 0.500
0.000 0.000 0.000
```

Density functional theory data (PBE) for a relaxed Mg2SiHPd6 crystal.

Calculated values
V: 14.88 Å³/atom
Raw total energy: -48.4 eV/cell
Total magnetic moment: 0.00 μB per formula unit

Geometry as POSCAR:
```
Mg2SiHPd6
1.0
5.578 -0.211 -0.322
-0.274 6.458 0.177
2.400 3.264 4.083
Mg Pd Si H
2 6 1 1
direct
0.286 0.797 0.420
0.714 0.203 0.580
0.231 0.186 0.465
0.662 0.662 0.138
0.215 0.693 0.007
0.769 0.814 0.535
0.785 0.307 0.993
0.338 0.338 0.862
0.000 0.000 0.000
0.500 0.500 0.000
```

Density functional theory data (PBE) for a relaxed SmMgH6Pd2 crystal.

Calculated values
V: 9.79 Å³/atom
Raw total energy: -40.2 eV/cell
Total magnetic moment: 0.00 μB per formula unit

Geometry as POSCAR:
```
SmMgH6Pd2
1.0
4.578 0.000 0.000
2.289 3.965 0.000
2.289 1.322 5.393
H Pd Mg Sm
6 2 1 1
direct
0.555 0.074 0.816
0.445 0.445 0.184
0.926 0.445 0.184
0.074 0.555 0.816
0.555 0.555 0.816
0.445 0.926 0.184
0.789 0.789 0.633
0.211 0.211 0.367
0.500 0.500 0.500
0.000 0.000 0.000
```

Density functional theory data (PBE) for a relaxed Mg2SnHPd crystal.

Calculated values
V: 15.93 Å³/atom
Raw total energy: -17.1 eV/cell
Total magnetic moment: 0.00 μB per formula unit

Geometry as POSCAR:
```
Mg2SnHPd
1.0
4.530 0.000 0.000
0.000 4.530 0.000
0.000 0.000 3.882
Pd Sn H Mg
1 1 1 2
direct
0.000 0.000 0.500
0.500 0.500 0.500
0.000 0.000 0.000
0.000 0.500 0.000
0.500 0.000 0.000
```

Density functional theory data (PBE) for a relaxed Sr2MgHPd crystal.

Calculated values
V: 24.43 Å³/atom
Raw total energy: -14.9 eV/cell
Total magnetic moment: 0.00 μB per formula unit
Relative energy among the computed polymorphs: 0.0040 eV/atom

Geometry as POSCAR:
```
Sr2MgHPd
1.0
5.706 0.000 0.000
0.000 5.706 0.000
0.000 0.000 3.752
Mg Pd Sr H
1 1 2 1
direct
0.500 0.500 0.500
0.000 0.000 0.500
0.500 0.000 0.000
0.000 0.500 0.000
0.000 0.000 0.000
```

Density functional theory data (PBE) for a relaxed SrMgH6Pd2 crystal.

Calculated values
V: 10.73 Å³/atom
Raw total energy: -36.6 eV/cell
Total magnetic moment: 0.00 μB per formula unit

Geometry as POSCAR:
```
SrMgH6Pd2
1.0
4.734 0.000 0.000
2.367 4.099 0.000
2.367 1.366 5.528
H Mg Pd Sr
6 1 2 1
direct
0.431 0.925 0.213
0.569 0.075 0.787
0.075 0.569 0.787
0.431 0.431 0.213
0.569 0.569 0.787
0.925 0.431 0.213
0.500 0.500 0.500
0.207 0.207 0.379
0.793 0.793 0.621
0.000 0.000 0.000
```